#A
DFT (GGA-PBEsol) results for crystalline RbLi3Tl at its relaxed geometry. Values from VASP.

Geometry as Quantum ESPRESSO input:
```
&SYSTEM
  ibrav = 0, nat = 5, ntyp = 3
/
ATOMIC_SPECIES
Tl 204.38 Tl.upf
Rb 85.47 Rb.upf
Li 6.94 Li.upf
CELL_PARAMETERS angstrom
5.562 0.000 0.000
0.000 5.562 0.000
0.000 0.000 5.562
ATOMIC_POSITIONS crystal
Tl 0.500 0.500 0.500
Rb 0.000 0.000 0.000
Li 0.000 0.500 0.000
Li 0.000 0.000 0.500
Li 0.500 0.000 0.000
```

Computed properties:
magnetization	0.000	μB per atom
N(E_F)	3.00	states/eV/cell
symmetry	Pm-3m

#B
DFT (GGA-PBEsol) results for crystalline RbLi3Tl at its relaxed geometry. Values from VASP.

Geometry as Quantum ESPRESSO input:
```
&SYSTEM
  ibrav = 0, nat = 5, ntyp = 3
/
ATOMIC_SPECIES
Tl 204.38 Tl.upf
Rb 85.47 Rb.upf
Li 6.94 Li.upf
CELL_PARAMETERS angstrom
5.419 0.000 0.000
0.000 5.419 0.000
0.000 0.000 5.419
ATOMIC_POSITIONS crystal
Tl 0.000 0.000 0.000
Rb 0.500 0.500 0.500
Li 0.000 0.500 0.000
Li 0.000 0.000 0.500
Li 0.500 0.000 0.000
```

Computed properties:
magnetization	0.000	μB per atom
N(E_F)	4.17	states/eV/cell
symmetry	Pm-3m

Which structure is the least stable? The one labeled #A.